The following is a GGA-PBEsol calculation of a relaxed Be2RhPb crystal, from the Alexandria database.

Cell and atoms, written as POSCAR:
```
Be2RhPb
1.0
3.644 0.000 0.000
0.000 3.716 0.000
0.000 0.000 8.247
Be Rh Pb
4 2 2
direct
0.000 0.000 0.000
0.000 0.500 0.179
0.500 0.000 0.679
0.500 0.500 0.500
0.000 0.000 0.501
0.500 0.500 0.001
0.000 0.500 0.749
0.500 0.000 0.249
```

Energy of formation ... 0.19 eV per atom
SG ... Imm2 (44)
DOS(E_F) ... 2.049 states/eV/cell

The following is a GGA-PBEsol calculation of a relaxed Ta2InCu crystal, from the Alexandria database.

Cell and atoms, written as POSCAR:
```
Ta2InCu
1.0
2.986 0.000 0.000
0.000 3.719 0.000
0.000 0.000 6.243
Ta In Cu
2 1 1
direct
0.000 0.000 0.000
0.500 0.500 0.232
0.500 0.500 0.706
0.000 0.000 0.468
```

Energy of formation ... 0.22 eV per atom
SG ... Pmm2 (25)
DOS(E_F) ... 2.764 states/eV/cell

The following is a GGA-PBEsol calculation of a relaxed LiLa2Tl crystal, from the Alexandria database.

Cell and atoms, written as POSCAR:
```
LiLa2Tl
1.0
4.915 0.000 0.000
0.000 4.915 0.000
0.000 0.000 4.627
Li La Tl
1 2 1
direct
0.000 0.000 0.000
0.000 0.500 0.500
0.500 0.000 0.500
0.500 0.500 0.000
```

Energy of formation ... -0.24 eV per atom
SG ... P4/mmm (123)
DOS(E_F) ... 3.105 states/eV/cell

The following is a GGA-PBEsol calculation of a relaxed TaMnPt2 crystal, from the Alexandria database.

Cell and atoms, written as POSCAR:
```
TaMnPt2
1.0
3.853 0.000 0.000
0.000 3.853 0.000
0.000 0.000 7.981
Ta Mn Pt
2 2 4
direct
0.000 0.000 0.000
0.500 0.500 0.500
0.000 0.500 0.250
0.500 0.000 0.750
0.000 0.000 0.500
0.000 0.500 0.750
0.500 0.000 0.250
0.500 0.500 0.000
```

Energy of formation ... -0.49 eV per atom
SG ... I-4m2 (119)
DOS(E_F) ... 5.522 states/eV/cell

The following is a GGA-PBEsol calculation of a relaxed Zr2TaSb crystal, from the Alexandria database.

Cell and atoms, written as POSCAR:
```
Zr2TaSb
1.0
3.499 0.000 0.000
0.000 4.593 0.000
-1.742 0.000 5.258
Zr Ta Sb
2 1 1
direct
0.000 0.000 0.000
0.292 0.500 0.587
0.737 0.000 0.476
0.569 0.500 0.137
```

SG ... Pm (6)
Formation energy from raw total energies ... -248 meV/atom
DOS(E_F) ... 3.914 states/eV/cell

The following is a GGA-PBEsol calculation of a relaxed Ba3NaAg crystal, from the Alexandria database.

Cell and atoms, written as POSCAR:
```
Ba3NaAg
1.0
6.435 0.000 0.000
0.000 6.435 0.000
0.000 0.000 6.435
Ba Na Ag
3 1 1
direct
0.000 0.000 0.500
0.000 0.500 0.000
0.500 0.000 0.000
0.500 0.500 0.500
0.000 0.000 0.000
```

Energy of formation ... -0.02 eV per atom
SG ... Pm-3m (221)
DOS(E_F) ... 3.931 states/eV/cell